{
  "formula": "Rb4BrF2",
  "functional": "PBE",
  "state": "optimized geometry",
  "cell": [[-3.1862, 3.1862, 7.8114], [3.1862, -3.1862, 7.8114], [3.1862, 3.1862, -7.8114]],
  "species": ["Rb", "Rb", "Rb", "Rb", "Br", "F", "F"],
  "frac_coords": [[0.0000, 0.5000, 0.5000], [0.2362, 0.2362, 0.0000], [0.5000, 0.0000, 0.5000], [0.7638, 0.7638, 0.0000], [0.0000, 0.0000, 0.0000], [0.3947, 0.3947, 0.0000], [0.6053, 0.6053, 0.0000]],
  "formation_energy_uncorrected_mev_per_atom": -1721,
  "n_ef_per_ev_fu": 1.448,
  "de_polymorph_kcal_per_mol_atoms": 4.95,
  "magmom_total_mub_per_cell": 0.0,
  "space_group": "No. 139"
}

***

{
  "formula": "Ac8InCu2",
  "functional": "PBE",
  "state": "optimized geometry",
  "cell": [[4.8073, -7.3599, 0.0000], [4.8073, 7.3599, 0.0000], [-1.6702, 0.0000, 5.7883]],
  "species": ["Ac", "Ac", "Ac", "Ac", "Ac", "Ac", "Ac", "Ac", "In", "Cu", "Cu"],
  "frac_coords": [[0.0754, 0.3276, 0.5798], [0.2426, 0.7574, 0.0000], [0.3276, 0.0754, 0.5798], [0.3872, 0.3872, 0.1921], [0.6128, 0.6128, 0.8079], [0.6724, 0.9246, 0.4202], [0.7574, 0.2426, 0.0000], [0.9246, 0.6724, 0.4202], [0.0000, 0.0000, 0.0000], [0.3091, 0.6909, 0.5000], [0.6909, 0.3091, 0.5000]],
  "n_ef_per_ev_fu": 14.302,
  "delta_e_f_ev_per_atom": -0.020,
  "magmom_total_mub_per_cell": 0.0,
  "space_group": "No. 12"
}

***

{
  "formula": "ReP2Pt",
  "functional": "PBE",
  "state": "optimized geometry",
  "cell": [[3.8702, -1.5188, 0.0000], [3.8702, 1.5188, 0.0000], [-0.6812, 0.0000, 4.9389]],
  "species": ["Re", "P", "P", "Pt"],
  "frac_coords": [[0.0000, 0.0000, 0.0000], [0.2725, 0.2725, 0.7838], [0.7275, 0.7275, 0.2162], [0.5000, 0.5000, 0.5000]],
  "n_ef_per_ev_fu": 2.349,
  "delta_e_f_ev_per_atom": -0.039,
  "de_polymorph_kcal_per_mol_atoms": 4.17,
  "magmom_total_mub_per_cell": 0.0,
  "space_group": "No. 12"
}

***

{
  "formula": "TbCeIrPd",
  "functional": "PBE",
  "state": "optimized geometry",
  "cell": [[0.0000, 3.5114, 3.5114], [3.5114, 0.0000, 3.5114], [3.5114, 3.5114, 0.0000]],
  "species": ["Tb", "Ce", "Ir", "Pd"],
  "frac_coords": [[0.0000, 0.0000, 0.0000], [0.5000, 0.5000, 0.5000], [0.7500, 0.7500, 0.7500], [0.2500, 0.2500, 0.2500]],
  "n_ef_per_ev_fu": 8.008,
  "delta_e_f_ev_per_atom": -0.742,
  "de_polymorph_kcal_per_mol_atoms": 2.32,
  "magmom_total_mub_per_cell": 0.8,
  "space_group": "No. 216"
}

***

{
  "formula": "Ba3In",
  "functional": "PBE",
  "state": "optimized geometry",
  "cell": [[8.6505, 0.0000, 0.0000], [0.0000, 6.0066, 0.0000], [-4.3136, 0.0000, 7.4984]],
  "species": ["Ba", "Ba", "Ba", "Ba", "Ba", "Ba", "In", "In"],
  "frac_coords": [[0.0924, 0.2500, 0.3655], [0.2728, 0.2500, 0.9078], [0.3658, 0.7500, 0.2732], [0.6342, 0.2500, 0.7268], [0.7272, 0.7500, 0.0922], [0.9076, 0.7500, 0.6345], [0.3335, 0.7500, 0.6669], [0.6665, 0.2500, 0.3331]],
  "n_ef_per_ev_fu": 2.923,
  "delta_e_f_ev_per_atom": -0.247,
  "magmom_total_mub_per_cell": 0.0,
  "space_group": "No. 11"
}

***

{
  "formula": "V2CuOs2",
  "functional": "PBE",
  "state": "optimized geometry",
  "cell": [[7.1519, 0.0000, 0.0000], [0.0000, 7.1519, 0.0000], [0.0000, 0.0000, 2.8630]],
  "species": ["V", "V", "V", "V", "Cu", "Cu", "Os", "Os", "Os", "Os"],
  "frac_coords": [[0.1545, 0.3455, 0.0000], [0.3455, 0.8455, 0.0000], [0.6545, 0.1545, 0.0000], [0.8455, 0.6545, 0.0000], [0.0000, 0.0000, 0.5000], [0.5000, 0.5000, 0.5000], [0.1434, 0.6434, 0.5000], [0.3566, 0.1434, 0.5000], [0.6434, 0.8566, 0.5000], [0.8566, 0.3566, 0.5000]],
  "n_ef_per_ev_fu": 4.473,
  "delta_e_f_ev_per_atom": 0.094,
  "de_polymorph_kcal_per_mol_atoms": 0.00,
  "magmom_total_mub_per_cell": 0.0,
  "space_group": "No. 127"
}

***

{
  "formula": "TbUTl2O6",
  "functional": "PBE",
  "state": "optimized geometry",
  "cell": [[-3.0809, 3.0809, 4.3672], [3.0809, -3.0809, 4.3672], [3.0809, 3.0809, -4.3672]],
  "species": ["Tb", "U", "Tl", "Tl", "O", "O", "O", "O", "O", "O"],
  "frac_coords": [[0.0000, 0.0000, 0.0000], [0.5000, 0.5000, 0.0000], [0.2500, 0.7500, 0.5000], [0.7500, 0.2500, 0.5000], [0.2610, 0.2610, 0.0000], [0.2613, 0.2613, 0.5226], [0.2613, 0.7387, 0.0000], [0.7387, 0.2613, 0.0000], [0.7390, 0.7390, 0.0000], [0.7387, 0.7387, 0.4774]],
  "formation_energy_uncorrected_mev_per_atom": -2324,
  "n_ef_per_ev_fu": 3.420,
  "magmom_total_mub_per_cell": 0.0,
  "space_group": "No. 139"
}

***

{
  "formula": "InOs2Au",
  "functional": "PBE",
  "state": "optimized geometry",
  "cell": [[2.9294, 0.0000, 0.0000], [0.0000, 4.2239, 0.0000], [0.0000, 0.0000, 5.4942]],
  "species": ["In", "Os", "Os", "Au"],
  "frac_coords": [[0.0000, 0.0000, 0.0000], [0.5000, 0.5000, 0.2256], [0.5000, 0.5000, 0.7744], [0.0000, 0.0000, 0.5000]],
  "n_ef_per_ev_fu": 5.265,
  "delta_e_f_ev_per_atom": 0.784,
  "magmom_total_mub_per_cell": 0.0,
  "space_group": "No. 47"
}

***

{
  "formula": "Tb3Y2Er7",
  "functional": "PBE",
  "state": "optimized geometry",
  "cell": [[6.2857, 0.0000, 0.0000], [0.0000, 3.4950, 0.0000], [-1.8783, 0.0000, 17.2278]],
  "species": ["Tb", "Tb", "Tb", "Y", "Y", "Er", "Er", "Er", "Er", "Er", "Er", "Er"],
  "frac_coords": [[0.0000, 0.0000, 0.0000], [0.0514, 0.5000, 0.6574], [0.9486, 0.5000, 0.3426], [0.4396, 0.0000, 0.3261], [0.5604, 0.0000, 0.6739], [0.2256, 0.5000, 0.1644], [0.2453, 0.0000, 0.5009], [0.2751, 0.0000, 0.8334], [0.5000, 0.5000, 0.0000], [0.7249, 0.0000, 0.1666], [0.7547, 0.0000, 0.4991], [0.7744, 0.5000, 0.8356]],
  "n_ef_per_ev_fu": 17.872,
  "delta_e_f_ev_per_atom": 0.084,
  "de_polymorph_kcal_per_mol_atoms": 0.00,
  "magmom_total_mub_per_cell": 0.0,
  "space_group": "No. 10"
}

***

{
  "formula": "Mg2TlAg2",
  "functional": "PBE",
  "state": "optimized geometry",
  "cell": [[7.9348, 0.0000, 0.0000], [0.0000, 7.9348, 0.0000], [0.0000, 0.0000, 3.3385]],
  "species": ["Mg", "Mg", "Mg", "Mg", "Tl", "Tl", "Ag", "Ag", "Ag", "Ag"],
  "frac_coords": [[0.1636, 0.3364, 0.0000], [0.3364, 0.8364, 0.0000], [0.6636, 0.1636, 0.0000], [0.8364, 0.6636, 0.0000], [0.0000, 0.0000, 0.5000], [0.5000, 0.5000, 0.5000], [0.1304, 0.6304, 0.5000], [0.3696, 0.1304, 0.5000], [0.6304, 0.8696, 0.5000], [0.8696, 0.3696, 0.5000]],
  "n_ef_per_ev_fu": 1.479,
  "delta_e_f_ev_per_atom": -0.110,
  "de_polymorph_kcal_per_mol_atoms": 0.00,
  "magmom_total_mub_per_cell": 0.0,
  "space_group": "No. 127"
}

***

{
  "formula": "LaCe2HoTe5",
  "functional": "PBE",
  "state": "optimized geometry",
  "cell": [[5.5043, 0.0000, 0.0000], [0.0000, 5.5043, 0.0000], [0.0000, 0.0000, 11.8759]],
  "species": ["La", "Ce", "Ce", "Ho", "Te", "Te", "Te", "Te", "Te"],
  "frac_coords": [[0.0000, 0.0000, 0.0000], [0.5000, 0.5000, 0.3295], [0.5000, 0.5000, 0.6705], [0.0000, 0.0000, 0.5000], [0.0000, 0.0000, 0.2507], [0.0000, 0.0000, 0.7493], [0.0000, 0.5000, 0.5000], [0.5000, 0.0000, 0.5000], [0.5000, 0.5000, 0.0000]],
  "formation_energy_uncorrected_mev_per_atom": -914,
  "n_ef_per_ev_fu": 20.927,
  "magmom_total_mub_per_cell": 3.8,
  "space_group": "No. 123"
}

***

{
  "formula": "Pm3NpPa2N6",
  "functional": "PBE",
  "state": "optimized geometry",
  "cell": [[3.0672, -5.3121, 0.0000], [3.0672, 5.3121, 0.0000], [-2.0491, 0.0000, 5.8120]],
  "species": ["Pm", "Pm", "Pm", "Np", "Pa", "Pa", "N", "N", "N", "N", "N", "N"],
  "frac_coords": [[0.0000, 0.0000, 0.0000], [0.3337, 0.6663, 0.0000], [0.6663, 0.3337, 0.0000], [0.5000, 0.5000, 0.5000], [0.1667, 0.8333, 0.5000], [0.8333, 0.1667, 0.5000], [0.0897, 0.4266, 0.2798], [0.2362, 0.2362, 0.7208], [0.4266, 0.0897, 0.2798], [0.5734, 0.9103, 0.7202], [0.7638, 0.7638, 0.2792], [0.9103, 0.5734, 0.7202]],
  "formation_energy_uncorrected_mev_per_atom": -1490,
  "n_ef_per_ev_fu": 13.317,
  "magmom_total_mub_per_cell": 3.5,
  "space_group": "No. 12"
}